Density functional theory data (PBE) for crystalline Tb5CoTe2 at its relaxed geometry.

Computed properties:
The total energy comes out at -5.060 eV/atom. Its crystal system is orthorhombic. The value obtained for the formation energy from raw total energies is -0.493 eV/atom. The excess energy over the best structure of this formula in the dataset is 0.244 eV per atom. Its spin magnetization is 0.00 μB per formula unit.

Cell: 5.8709 11.7020 14.5049 Å, 90.00 90.00 90.00°
With the nearest neighbours (Å) after each atom.
Space group Cmcm (No. 63)
One atom of each set of equivalent atoms:
Tb: 0.0000 0.0646 0.1280  1 Co 2.53
Tb: 0.0000 0.3049 0.7500  2 Co 2.95, 2 Te 3.10
Tb: 0.0000 0.3670 0.1216  1 Co 2.55
Co: 0.0000 0.2188 0.2500  4 Tb 2.53-2.55
Te: 0.0000 0.1882 0.5582  6 Tb 3.06-3.34



Density functional theory data (PBE) for crystalline TbCoTe at its relaxed geometry.

Computed properties:
The total energy comes out at -5.136 eV/atom. Its crystal system is orthorhombic. The value obtained for the formation energy from raw total energies is -0.176 eV/atom. Its spin magnetization is 0.84 μB per formula unit.

Cell: 8.6078 5.7830 5.8500 Å, 90.00 90.00 90.00°
With the nearest neighbours (Å) after each atom.
Space group Amm2 (No. 38)
One atom of each set of equivalent atoms:
Tb: 0.1839 0.0000 0.0000  2 Co 2.92-2.93, 4 Te 3.04-3.08, 1 Tb 3.17
Co: 0.0000 0.0000 0.5801  2 Te 2.55
Co: 0.5000 0.0000 0.8131  2 Te 2.56
Te: 0.2915 0.0000 0.5015  2 Co 2.55-2.56



Density functional theory data (PBE) for crystalline TbThCoTe at its relaxed geometry.

Computed properties:
The total energy comes out at -6.300 eV/atom. Its crystal system is trigonal. The value obtained for the formation energy from raw total energies is -0.725 eV/atom. Its spin magnetization is 0.00 μB per formula unit.

Cell: 4.0578 4.0578 22.4538 Å, 90.00 90.00 120.00°
With the nearest neighbours (Å) after each atom.
Space group R3m (No. 160, hexagonal axes)
One atom of each set of equivalent atoms:
Tb: 0.0000 0.0000 0.0000  3 Co 2.83
Th: 0.0000 0.0000 0.2015  3 Co 2.72
Co: 0.0000 0.0000 0.5961  3 Th 2.72, 3 Tb 2.83
Te: 0.0000 0.0000 0.7636  3 Tb 3.20, 3 Th 3.32



Density functional theory data (PBE) for crystalline Tb2Th2Co3 at its relaxed geometry.

Computed properties:
The total energy comes out at -6.706 eV/atom. Its crystal system is triclinic. For the calculated formation energy, the calculation gives -0.218 eV per atom. Its spin magnetization is 0.00 μB per formula unit.

Cell: 3.7428 6.7143 6.9640 Å, 79.32 74.61 73.91°
With the nearest neighbours (Å) after each atom.
Space group P-1 (No. 2)
One atom of each set of equivalent atoms:
Tb: 0.0629 0.2443 0.1292  5 Co 2.75-3.07
Th: 0.3168 0.2646 0.6029  4 Co 2.68-2.71
Co: 0.0000 0.0000 0.5000  4 Th 2.68, 2 Tb 2.78
Co: 0.3817 0.5422 0.1936  2 Th 2.70-2.71, 1 Co 2.72, 2 Tb 2.75-2.76



Density functional theory data (PBE) for crystalline Tb3ThCo8 at its relaxed geometry.

Computed properties:
The total energy comes out at -6.692 eV/atom. Its crystal system is trigonal. For the calculated formation energy, the calculation gives -0.179 eV per atom. Its spin magnetization is 6.55 μB per formula unit.

Cell: 5.0872 5.0872 25.0201 Å, 90.00 90.00 120.00°
With the nearest neighbours (Å) after each atom.
Space group R3m (No. 160, hexagonal axes)
One atom of each set of equivalent atoms:
Tb: 0.0000 0.0000 0.0000  12 Co 2.97-3.04, 1 Tb 3.10, 3 Th 3.14
Tb: 0.0000 0.0000 0.1238  12 Co 2.97-2.99, 4 Tb 3.10
Tb: 0.0000 0.0000 0.4964  12 Co 2.94-3.00, 3 Tb 3.10, 1 Th 3.15
Th: 0.0000 0.0000 0.6223  12 Co 2.98-3.02, 4 Tb 3.14-3.15
Co: 0.0000 0.0000 0.3110  6 Co 2.55-2.57
Co: 0.0000 0.0000 0.8102  6 Co 2.53-2.55
Co: 0.0005 0.5002 0.0612  6 Co 2.53-2.55
Co: 0.0001 0.5001 0.5602  6 Co 2.54-2.57



Density functional theory data (PBE) for crystalline TbTh3Co2 at its relaxed geometry.

Computed properties:
The total energy comes out at -7.061 eV/atom. Its crystal system is monoclinic. For the calculated formation energy, the calculation gives -0.210 eV per atom. Its spin magnetization is 0.00 μB per formula unit.

Cell: 12.4724 6.7874 7.3913 Å, 90.00 107.15 90.00°
With the nearest neighbours (Å) after each atom.
Space group C2/c (No. 15)
One atom of each set of equivalent atoms:
Tb: 0.0000 0.2450 0.2500  4 Co 2.92-2.93
Th: 0.0000 0.2632 0.7500  4 Co 2.84-2.87
Th: 0.2209 0.0026 0.1106  2 Co 2.62
Co: 0.1231 0.4981 0.5622  4 Th 2.62-2.87, 2 Tb 2.92-2.93



Density functional theory data (PBE) for crystalline TbThCo10 at its relaxed geometry.

Computed properties:
The total energy comes out at -7.049 eV/atom. Its crystal system is orthorhombic. For the calculated formation energy, the calculation gives -0.123 eV per atom. Its spin magnetization is 13.14 μB per formula unit.

Cell: 3.9777 4.9247 8.5762 Å, 90.00 90.00 90.00°
With the nearest neighbours (Å) after each atom.
Space group Pmmm (No. 47)
One atom of each set of equivalent atoms:
Tb: 0.0000 0.0000 0.0000  18 Co 2.87-3.17
Th: 0.0000 0.5000 0.5000  6 Co 2.80-2.84
Co: 0.0000 0.0000 0.3343  6 Co 2.44-2.45
Co: 0.0000 0.5000 0.1731  6 Co 2.43-2.48
Co: 0.5000 0.0000 0.5000  8 Co 2.44-2.50
Co: 0.5000 0.2439 0.2438  8 Co 2.40-2.52
Co: 0.5000 0.5000 0.0000  8 Co 2.44-2.48



Density functional theory data (PBE) for crystalline TbThCo at its relaxed geometry.

Computed properties:
The total energy comes out at -6.444 eV/atom. Its crystal system is tetragonal. For the calculated formation energy, the calculation gives -0.058 eV per atom. The excess energy over the best structure of this formula in the dataset is 0.062 eV per atom. Its spin magnetization is 0.00 μB per formula unit.

Cell: 3.4957 3.4957 11.6452 Å, 90.00 90.00 90.00°
With the nearest neighbours (Å) after each atom.
Space group I4mm (No. 107)
One atom of each set of equivalent atoms:
Tb: 0.0000 0.0000 0.0000  4 Co 3.13, 1 Th 3.26, 4 Tb 3.50
Th: 0.0000 0.0000 0.2800  4 Co 2.81
Co: 0.0000 0.0000 0.6651  4 Th 2.81, 4 Tb 3.13



Density functional theory data (PBE) for crystalline Tb3Th2Co2 at its relaxed geometry.

Computed properties:
The total energy comes out at -6.318 eV/atom. Its crystal system is monoclinic. For the calculated formation energy, the calculation gives -0.183 eV per atom. Its spin magnetization is 0.00 μB per formula unit.

Cell: 11.9251 3.6440 8.9530 Å, 90.00 112.60 90.00°
With the nearest neighbours (Å) after each atom.
Space group C2/m (No. 12)
One atom of each set of equivalent atoms:
Tb: 0.0000 0.0000 0.0000  4 Co 3.00
Tb: 0.1168 0.0000 0.4220  3 Co 2.77-3.07
Th: 0.1773 0.5000 0.8140  2 Co 2.63
Co: 0.1825 0.5000 0.2366  2 Th 2.63, 2 Tb 2.77



Density functional theory data (PBE) for crystalline TbTh3Co8 at its relaxed geometry.

Computed properties:
The total energy comes out at -7.170 eV/atom. Its crystal system is trigonal. For the calculated formation energy, the calculation gives -0.192 eV per atom. Its spin magnetization is 0.00 μB per formula unit.

Cell: 5.0930 5.0930 24.9742 Å, 90.00 90.00 120.00°
With the nearest neighbours (Å) after each atom.
Space group R3m (No. 160, hexagonal axes)
One atom of each set of equivalent atoms:
Tb: 0.0000 0.0000 0.0000  12 Co 2.96-3.00, 4 Th 3.09
Th: 0.0000 0.0000 0.1237  12 Co 2.96-3.05, 1 Tb 3.09, 3 Th 3.16
Th: 0.0000 0.0000 0.5028  12 Co 2.97-3.02, 4 Th 3.15-3.16
Th: 0.0000 0.0000 0.6292  12 Co 2.92-3.02, 3 Tb 3.09, 1 Th 3.15
Co: 0.0000 0.0000 0.3142  6 Co 2.53-2.55
Co: 0.0000 0.0000 0.8137  6 Co 2.56
Co: 0.0024 0.5012 0.0635  6 Co 2.53-2.56
Co: 0.1673 0.3346 0.8974  6 Co 2.54-2.56



Density functional theory data (PBE) for crystalline TbTh6Co3 at its relaxed geometry.

Computed properties:
The total energy comes out at -7.146 eV/atom. Its crystal system is orthorhombic. For the calculated formation energy, the calculation gives -0.099 eV per atom. Its spin magnetization is 0.00 μB per formula unit.

Cell: 11.7488 12.3504 7.1497 Å, 90.00 90.00 90.00°
With the nearest neighbours (Å) after each atom.
Space group Cmc2_1 (No. 36)
One atom of each set of equivalent atoms:
Tb: 0.0000 0.2403 0.0000  3 Co 2.92-3.13
Th: 0.0000 0.1883 0.4812  3 Co 2.69-2.88
Th: 0.0000 0.4709 0.6208  4 Co 2.77-2.80
Th: 0.1925 0.0096 0.9484  3 Co 2.83-2.96
Th: 0.2417 0.2660 0.7061  1 Co 2.54
Co: 0.0000 0.0378 0.2100  5 Th 2.69-2.96, 1 Tb 2.92
Co: 0.1151 0.3724 0.3229  4 Th 2.54-2.83, 1 Co 2.71